Here is crystalline ScIrBr2 at its relaxed geometry from the Alexandria database. Energies are from PBE.

```
4
Lattice="-0.7475 5.0081 2.7496 -0.2027 0.3610 5.7471 3.2277 -2.3142 -4.1746" Properties=species:S:1:pos:R:3 pbc="T T T"
Br 0.0000 0.0000 0.0000
Br 1.2750 0.3657 2.9105
Sc 1.0025 2.6892 1.4117
Ir -0.4751 2.6846 4.2484
```

Results
Its space-group type is I-4m2, No. 119. For the uncorrected formation energy, the calculation gives -0.028 eV per atom. The density comes out at 8.46 g/cm³. The offset from the most stable computed form is 2.75 eV/f.u. The calculation puts the volume at 19.483 Å³ per atom.

---

Here is crystalline ScIrBr2 at its relaxed geometry from the Alexandria database. Energies are from PBE.

```
4
Lattice="3.7974 0.0000 0.0000 0.0000 3.6543 0.0221 0.0000 0.7988 7.5092" Properties=species:S:1:pos:R:3 pbc="T T T"
Br 1.8987 1.9771 2.5608
Br 0.0000 0.7683 6.7961
Ir 0.0000 1.4360 4.3883
Sc 1.8987 3.2969 5.0610
```

Results
Its space-group type is Pm, No. 6. For the uncorrected formation energy, the calculation gives -0.636 eV per atom. The density comes out at 6.33 g/cm³. The offset from the most stable computed form is 0.32 eV/f.u. The calculation puts the volume at 26.034 Å³ per atom.

---

Here is crystalline Sc4IrBr at its relaxed geometry from the Alexandria database. Energies are from PBE.

```
6
Lattice="-2.5021 3.8896 3.2962 -2.9047 4.2742 -2.3558 -5.6622 0.1533 0.4137" Properties=species:S:1:pos:R:3 pbc="T T T"
Sc -5.3997 5.0789 2.1807
Sc -7.0063 3.1794 0.7153
Sc -5.6044 5.2744 -0.6927
Sc -4.1277 3.1015 0.5050
Br -8.3017 6.2378 1.0156
Ir 0.0000 0.0000 0.0000
```

Results
Its space-group type is F-43m, No. 216. For the uncorrected formation energy, the calculation gives 0.405 eV per atom. The density comes out at 5.79 g/cm³. The calculation puts the volume at 21.589 Å³ per atom.